VASP calculation (GGA-PBE) on a relaxed structure of Cs2P2Pt3.

a b c (Å): 7.2683 7.2683 8.9329
angles (deg): 126.42 126.42 34.35
Element x y z (fractional)
Cs (0.4396, 0.4396, 0.1586)
Cs (0.5604, 0.5604, 0.8414)
P (0.7979, 0.7979, 0.3785)
P (0.2021, 0.2021, 0.6215)
Pt (0.2418, 0.2418, 0.3938)
Pt (0.0000, 0.0000, 0.5000)
Pt (0.7582, 0.7582, 0.6062)

* crystal system: monoclinic
* SG: C2/m
* final energy: -34.52 eV per cell
* spin magnetization: 0.0 μB/f.u.

VASP calculation (GGA-PBE) on a relaxed structure of CsRb2P2Pt3.

a b c (Å): 7.9613 7.9613 7.9613
angles (deg): 43.13 43.13 43.13
Element x y z (fractional)
Cs (0.5000, 0.5000, 0.5000)
P (0.2574, 0.2574, 0.2574)
P (0.7426, 0.7426, 0.7426)
Pt (0.5000, 0.5000, 0.0000)
Pt (0.5000, 0.0000, 0.5000)
Pt (0.0000, 0.5000, 0.5000)
Rb (0.0876, 0.0876, 0.0876)
Rb (0.9124, 0.9124, 0.9124)

* crystal system: trigonal
* SG: R-3m
* final energy: -35.53 eV per cell
* spin magnetization: 0.0 μB/f.u.

VASP calculation (GGA-PBE) on a relaxed structure of CsRbSm2P2.

a b c (Å): 5.1707 5.1707 8.0325
angles (deg): 90.00 90.00 90.00
Element x y z (fractional)
Cs (0.0000, 0.0000, 0.3818)
P (0.5000, 0.5000, 0.1594)
P (0.0000, 0.0000, 0.8467)
Rb (0.5000, 0.5000, 0.6196)
Sm (0.5000, 0.0000, 0.9962)
Sm (0.0000, 0.5000, 0.9962)

* crystal system: tetragonal
* SG: P4mm
* final energy: -26.13 eV per cell
* spin magnetization: 0.0 μB/f.u.

VASP calculation (GGA-PBE) on a relaxed structure of CsRbTm2P2.

a b c (Å): 4.8022 4.8022 11.3529
angles (deg): 90.00 90.00 90.00
Element x y z (fractional)
Cs (0.0000, 0.0000, 0.3123)
P (0.5000, 0.5000, 0.1146)
P (0.0000, 0.0000, 0.8827)
Rb (0.5000, 0.5000, 0.6953)
Tm (0.5000, 0.0000, 0.9976)
Tm (0.0000, 0.5000, 0.9976)

* crystal system: tetragonal
* SG: P4mm
* final energy: -25.98 eV per cell
* spin magnetization: 0.1 μB/f.u.

VASP calculation (GGA-PBE) on a relaxed structure of CsRbZn2P2.

a b c (Å): 4.1255 4.1255 11.2181
angles (deg): 90.00 90.00 120.00
Element x y z (fractional)
Cs (0.0000, 0.0000, 0.0000)
P (0.3333, 0.6667, 0.2590)
P (0.6667, 0.3333, 0.7410)
Rb (0.0000, 0.0000, 0.5000)
Zn (0.6667, 0.3333, 0.2591)
Zn (0.3333, 0.6667, 0.7409)

* crystal system: trigonal
* SG: P-3m1
* final energy: -17.61 eV per cell

VASP calculation (GGA-PBE) on a relaxed structure of CsTaP2S8.

a b c (Å): 5.8854 6.0455 10.1989
angles (deg): 80.92 80.75 65.62
Element x y z (fractional)
Cs (0.0000, 0.0000, 0.5000)
P (0.6235, 0.5997, 0.1900)
P (0.3765, 0.4003, 0.8100)
S (0.7662, 0.7468, 0.0120)
S (0.6795, 0.2367, 0.1661)
S (0.2282, 0.7716, 0.1948)
S (0.7144, 0.6291, 0.3618)
S (0.2856, 0.3709, 0.6382)
S (0.7718, 0.2284, 0.8052)
S (0.3205, 0.7633, 0.8339)
S (0.2338, 0.2532, 0.9880)
Ta (0.0000, 0.0000, 0.0000)

* crystal system: triclinic
* SG: P-1
* final energy: -62.58 eV per cell
* spin magnetization: 0.0 μB/f.u.

VASP calculation (GGA-PBE) on a relaxed structure of Cs2ThP3S9.

a b c (Å): 12.4967 12.5313 12.6793
angles (deg): 114.43 102.65 99.65
Element x y z (fractional)
Cs (0.8780, 0.1456, 0.1025)
Cs (0.1006, 0.5677, 0.2599)
Cs (0.3510, 0.9256, 0.2738)
Cs (0.8299, 0.7718, 0.4468)
Cs (0.1701, 0.2282, 0.5532)
Cs (0.6490, 0.0744, 0.7262)
Cs (0.8994, 0.4323, 0.7401)
Cs (0.1220, 0.8544, 0.8975)
P (0.7817, 0.4530, 0.0126)
P (0.6805, 0.4166, 0.1269)
P (0.2371, 0.2013, 0.1876)
P (0.6979, 0.9687, 0.2511)
P (0.3570, 0.3656, 0.3581)
P (0.7731, 0.1304, 0.4427)
P (0.2269, 0.8696, 0.5573)
P (0.6430, 0.6344, 0.6419)
P (0.3021, 0.0313, 0.7489)
P (0.7629, 0.7987, 0.8124)
P (0.3195, 0.5834, 0.8731)
P (0.2183, 0.5470, 0.9874)
S (0.1142, 0.6515, 0.0200)
S (0.5714, 0.2437, 0.0537)
S (0.1592, 0.2746, 0.0867)
S (0.3575, 0.1356, 0.1114)
S (0.8491, 0.6381, 0.1242)
S (0.5789, 0.5300, 0.1346)
S (0.3373, 0.5709, 0.1386)
S (0.6012, 0.0423, 0.1602)
S (0.8223, 0.9158, 0.1817)
S (0.1373, 0.0869, 0.2218)
S (0.5993, 0.8167, 0.2408)
S (0.7912, 0.4466, 0.2870)
S (0.4642, 0.4419, 0.2878)
S (0.8431, 0.2676, 0.4072)
S (0.1235, 0.9006, 0.4374)
S (0.4468, 0.2891, 0.4468)
S (0.2673, 0.4703, 0.4480)
S (0.6282, 0.1686, 0.4795)
S (0.3718, 0.8314, 0.5205)
S (0.7327, 0.5297, 0.5520)
S (0.5532, 0.7109, 0.5532)
S (0.8765, 0.0994, 0.5626)
S (0.1569, 0.7324, 0.5928)
S (0.5358, 0.5581, 0.7122)
S (0.2088, 0.5534, 0.7130)
S (0.4007, 0.1833, 0.7592)
S (0.8627, 0.9131, 0.7782)
S (0.1777, 0.0842, 0.8183)
S (0.3988, 0.9577, 0.8398)
S (0.6627, 0.4291, 0.8614)
S (0.4211, 0.4700, 0.8654)
S (0.1509, 0.3619, 0.8758)
S (0.6425, 0.8644, 0.8886)
S (0.8408, 0.7254, 0.9133)
S (0.4286, 0.7563, 0.9463)
S (0.8858, 0.3485, 0.9800)
Th (0.3543, 0.3220, 0.0052)
Th (0.6091, 0.2863, 0.3197)
Th (0.3909, 0.7137, 0.6803)
Th (0.6457, 0.6780, 0.9948)

* crystal system: triclinic
* SG: P-1
* final energy: -306.10 eV per cell
* spin magnetization: 0.0 μB/f.u.

VASP calculation (GGA-PBE) on a relaxed structure of Cs2ZnP2Se6.

a b c (Å): 7.8552 7.9085 12.8884
angles (deg): 96.96 104.28 109.35
Element x y z (fractional)
Cs (0.7425, 0.4064, 0.0947)
Cs (0.5930, 0.2966, 0.3952)
Cs (0.4070, 0.7034, 0.6048)
Cs (0.2575, 0.5936, 0.9053)
P (0.1597, 0.0860, 0.0375)
P (0.8939, 0.8501, 0.4708)
P (0.1061, 0.1499, 0.5292)
P (0.8403, 0.9140, 0.9625)
Se (0.7302, 0.9167, 0.1068)
Se (0.2192, 0.3596, 0.1289)
Se (0.2561, 0.9184, 0.1495)
Se (0.0325, 0.7241, 0.3685)
Se (0.0918, 0.2522, 0.3739)
Se (0.6137, 0.8242, 0.3781)
Se (0.3863, 0.1758, 0.6219)
Se (0.9082, 0.7478, 0.6261)
Se (0.9675, 0.2759, 0.6315)
Se (0.7439, 0.0816, 0.8505)
Se (0.7808, 0.6404, 0.8711)
Se (0.2698, 0.0833, 0.8932)
Zn (0.0314, 0.9527, 0.2510)
Zn (0.9686, 0.0473, 0.7490)

* crystal system: triclinic
* SG: P-1
* final energy: -83.86 eV per cell

VASP calculation (GGA-PBE) on a relaxed structure of Cs2TaP2.

a b c (Å): 9.2154 9.2154 5.5772
angles (deg): 90.00 90.00 134.18
Element x y z (fractional)
Cs (0.5859, 0.4141, 0.2500)
Cs (0.2178, 0.7822, 0.2500)
Cs (0.7822, 0.2178, 0.7500)
Cs (0.4141, 0.5859, 0.7500)
P (0.0534, 0.2665, 0.2500)
P (0.7335, 0.9466, 0.2500)
P (0.2665, 0.0534, 0.7500)
P (0.9466, 0.7335, 0.7500)
Ta (0.0000, 0.0000, 0.0000)
Ta (0.0000, 0.0000, 0.5000)

* crystal system: orthorhombic
* SG: Cmcm
* final energy: -50.74 eV per cell
* spin magnetization: 0.4 μB/f.u.

VASP calculation (GGA-PBE) on a relaxed structure of CsZr3P5.

a b c (Å): 6.0546 6.0546 6.1282
angles (deg): 90.00 90.00 120.00
Element x y z (fractional)
Cs (0.0000, 0.0000, 0.0000)
P (0.6667, 0.3333, 0.1775)
P (0.3333, 0.6667, 0.1775)
P (0.0000, 0.0000, 0.5000)
P (0.6667, 0.3333, 0.8225)
P (0.3333, 0.6667, 0.8225)
Zr (0.5000, 0.0000, 0.5000)
Zr (0.0000, 0.5000, 0.5000)
Zr (0.5000, 0.5000, 0.5000)

* crystal system: hexagonal
* SG: P6/mmm
* final energy: -58.99 eV per cell
* spin magnetization: 0.0 μB/f.u.

VASP calculation (GGA-PBE) on a relaxed structure of Cs3ZrP2.

a b c (Å): 9.7528 9.7528 9.7528
angles (deg): 127.17 69.65 138.04
Element x y z (fractional)
Cs (0.8075, 0.2058, 0.0133)
Cs (0.6925, 0.7058, 0.3983)
Cs (0.7500, 0.2500, 0.5000)
Cs (0.2500, 0.7500, 0.5000)
Cs (0.3075, 0.2942, 0.6017)
Cs (0.1925, 0.7942, 0.9867)
P (0.4179, 0.6617, 0.0796)
P (0.0821, 0.1617, 0.2439)
P (0.9179, 0.8383, 0.7561)
P (0.5821, 0.3383, 0.9204)
Zr (0.2500, 0.2500, 0.0000)
Zr (0.7500, 0.7500, 0.0000)

* crystal system: orthorhombic
* SG: Ibam
* final energy: -49.82 eV per cell
* spin magnetization: 0.5 μB/f.u.

VASP calculation (GGA-PBE) on a relaxed structure of CsPa.

a b c (Å): 4.8746 4.8746 4.8746
angles (deg): 60.00 60.00 60.00
Element x y z (fractional)
Cs (0.0000, 0.0000, 0.0000)
Pa (0.2500, 0.2500, 0.2500)

* crystal system: cubic
* excess energy over the best structure of this formula in the dataset: 1.6534 eV/atom
* SG: F-43m
* spin magnetization: 1.9 μB/f.u.